Computed, not measured: an optimized crystal structure of Cs2PtAuCl6 at the PBE level of DFT.

Computed properties:
Energy relative to the elements, uncorrected   -1.024 eV/atom
M_tot   0.00 μB per cell
Theoretical density   4.9 Mg/m³

The structure in CIF format:
```
data_Cs2PtAuCl6
_symmetry_space_group_name_H-M 'I 4/m m m'
_symmetry_Int_Tables_number 139
_symmetry_space_group_name_Hall '-I 4 2'
_cell_length_a 7.620
_cell_length_b 7.620
_cell_length_c 10.078
_cell_angle_alpha 90.00
_cell_angle_beta 90.00
_cell_angle_gamma 90.00
loop_
_atom_site_label
_atom_site_fract_x
_atom_site_fract_y
_atom_site_fract_z
_atom_site_occupancy
Cs1 0.000 0.500 0.250 1
Pt1 0.000 0.000 0.000 1
Au1 0.000 0.000 0.500 1
Cl1 0.000 0.000 0.263 1
Cl2 0.220 0.220 0.000 1
```